# 1
Below is a crystal of Ca3NbPt relaxed with PBEsol, with properties calculated at the meta-GGA SCAN level.

Output
D(E_F)	3.9	states/eV/cell
density	4.28	g cm⁻³
final energy	-131.684	eV/cell

The structure in CIF format:
```
data_Ca3NbPt
_symmetry_space_group_name_H-M 'P m -3 m'
_symmetry_Int_Tables_number 221
_symmetry_space_group_name_Hall '-P 4 2 3'
_cell_length_a 5.4109
_cell_length_b 5.4109
_cell_length_c 5.4109
_cell_angle_alpha 90.00
_cell_angle_beta 90.00
_cell_angle_gamma 90.00
loop_
_atom_site_label
_atom_site_type_symbol
_atom_site_fract_x
_atom_site_fract_y
_atom_site_fract_z
Ca1 Ca 0.0000 0.0000 0.5000
Nb1 Nb 0.5000 0.5000 0.5000
Pt1 Pt 0.0000 0.0000 0.0000
```


# 2
Below is a crystal of TlCrRe3 relaxed with PBEsol, with properties calculated at the meta-GGA SCAN level.

Output
D(E_F)	5.6	states/eV/cell
density	11.92	g cm⁻³
final energy	-286.673	eV/cell

The structure in CIF format:
```
data_TlCrRe3
_symmetry_space_group_name_H-M 'P m -3 m'
_symmetry_Int_Tables_number 221
_symmetry_space_group_name_Hall '-P 4 2 3'
_cell_length_a 4.8422
_cell_length_b 4.8422
_cell_length_c 4.8422
_cell_angle_alpha 90.00
_cell_angle_beta 90.00
_cell_angle_gamma 90.00
loop_
_atom_site_label
_atom_site_type_symbol
_atom_site_fract_x
_atom_site_fract_y
_atom_site_fract_z
Tl1 Tl 0.0000 0.0000 0.0000
Cr1 Cr 0.5000 0.5000 0.5000
Re1 Re 0.0000 0.0000 0.5000
```


# 3
Below is a crystal of Fe4CuMo relaxed with PBEsol, with properties calculated at the meta-GGA SCAN level.

Output
D(E_F)	12.4	states/eV/cell
density	9.24	g cm⁻³
final energy	-486.917	eV/cell

The structure in CIF format:
```
data_Fe4CuMo
_symmetry_space_group_name_H-M 'F -4 3 m'
_symmetry_Int_Tables_number 216
_symmetry_space_group_name_Hall 'F -4 2 3'
_cell_length_a 6.5039
_cell_length_b 6.5039
_cell_length_c 6.5039
_cell_angle_alpha 90.00
_cell_angle_beta 90.00
_cell_angle_gamma 90.00
loop_
_atom_site_label
_atom_site_type_symbol
_atom_site_fract_x
_atom_site_fract_y
_atom_site_fract_z
Fe1 Fe 0.1244 0.1244 0.1244
Cu1 Cu 0.2500 0.2500 0.7500
Mo1 Mo 0.0000 0.0000 0.5000
```


# 4
Below is a crystal of BaTc2Pt relaxed with PBEsol, with properties calculated at the meta-GGA SCAN level.

Output
D(E_F)	15.6	states/eV/cell
relative energy among the computed polymorphs	0.0000	eV per atom
density	9.37	g cm⁻³

The structure in CIF format:
```
data_BaTc2Pt
_symmetry_space_group_name_H-M 'R 3 m'
_symmetry_Int_Tables_number 160
_symmetry_space_group_name_Hall 'R 3 -2"'
_cell_length_a 4.1998
_cell_length_b 4.1998
_cell_length_c 18.3767
_cell_angle_alpha 90.00
_cell_angle_beta 90.00
_cell_angle_gamma 120.00
loop_
_atom_site_label
_atom_site_type_symbol
_atom_site_fract_x
_atom_site_fract_y
_atom_site_fract_z
Ba1 Ba 0.0000 0.0000 0.0000
Tc1 Tc 0.0000 0.0000 0.1894
Tc2 Tc 0.0000 0.0000 0.5159
Pt1 Pt 0.0000 0.0000 0.7878
```


# 5
Below is a crystal of Rb3OF relaxed with PBEsol, with properties calculated at the meta-GGA SCAN level.

Output
E_form (uncorrected)	-1.537	eV/atom
density	3.18	g cm⁻³

The structure in CIF format:
```
data_Rb3OF
_symmetry_space_group_name_H-M 'P m -3 m'
_symmetry_Int_Tables_number 221
_symmetry_space_group_name_Hall '-P 4 2 3'
_cell_length_a 5.3393
_cell_length_b 5.3393
_cell_length_c 5.3393
_cell_angle_alpha 90.00
_cell_angle_beta 90.00
_cell_angle_gamma 90.00
loop_
_atom_site_label
_atom_site_type_symbol
_atom_site_fract_x
_atom_site_fract_y
_atom_site_fract_z
Rb1 Rb 0.0000 0.0000 0.5000
O1 O 0.0000 0.0000 0.0000
F1 F 0.5000 0.5000 0.5000
```


# 6
Below is a crystal of Rb2BaAu relaxed with PBEsol, with properties calculated at the meta-GGA SCAN level.

Output
D(E_F)	13.5	states/eV/cell
density	5.14	g cm⁻³
final energy	-598.171	eV/cell

The structure in CIF format:
```
data_Rb2BaAu
_symmetry_space_group_name_H-M 'F m -3 m'
_symmetry_Int_Tables_number 225
_symmetry_space_group_name_Hall '-F 4 2 3'
_cell_length_a 8.6749
_cell_length_b 8.6749
_cell_length_c 8.6749
_cell_angle_alpha 90.00
_cell_angle_beta 90.00
_cell_angle_gamma 90.00
loop_
_atom_site_label
_atom_site_type_symbol
_atom_site_fract_x
_atom_site_fract_y
_atom_site_fract_z
Rb1 Rb 0.2500 0.2500 0.2500
Ba1 Ba 0.0000 0.0000 0.0000
Au1 Au 0.0000 0.0000 0.5000
```


# 7
Below is a crystal of Pr2Co12P7 relaxed with PBEsol, with properties calculated at the meta-GGA SCAN level.

Output
D(E_F)	7.3	states/eV/cell
density	7.98	g cm⁻³
final energy	-380.903	eV/cell

The structure in CIF format:
```
data_Pr2Co12P7
_symmetry_space_group_name_H-M 'P -6'
_symmetry_Int_Tables_number 174
_cell_length_a 8.9905
_cell_length_b 8.9905
_cell_length_c 3.5843
_cell_angle_alpha 90.00
_cell_angle_beta 90.00
_cell_angle_gamma 120.00
loop_
_symmetry_equiv_pos_as_xyz
'x,y,z'
'-x+y,-x,-z'
'-y,x-y,z'
'x,y,-z'
'-x+y,-x,z'
'-y,x-y,-z'
loop_
_atom_site_label
_atom_site_type_symbol
_atom_site_fract_x
_atom_site_fract_y
_atom_site_fract_z
Pr1 Pr 0.0000 0.0000 0.0000
Pr2 Pr 0.3333 0.6667 0.5000
Co1 Co 0.0405 0.2754 0.5000
Co2 Co 0.0978 0.7137 0.0000
Co3 Co 0.4372 0.2066 0.0000
Co4 Co 0.5168 0.4537 0.5000
P1 P 0.0629 0.4372 0.0000
P2 P 0.2664 0.2266 0.5000
P3 P 0.6667 0.3333 0.5000
```


# 8
Below is a crystal of Cs2RbHg relaxed with PBEsol, with properties calculated at the meta-GGA SCAN level.

Output
D(E_F)	17.2	states/eV/cell
relative energy among the computed polymorphs	0.0668	eV per atom
density	3.67	g cm⁻³

The structure in CIF format:
```
data_Cs2RbHg
_symmetry_space_group_name_H-M 'F m -3 m'
_symmetry_Int_Tables_number 225
_symmetry_space_group_name_Hall '-F 4 2 3'
_cell_length_a 9.9999
_cell_length_b 9.9999
_cell_length_c 9.9999
_cell_angle_alpha 90.00
_cell_angle_beta 90.00
_cell_angle_gamma 90.00
loop_
_atom_site_label
_atom_site_type_symbol
_atom_site_fract_x
_atom_site_fract_y
_atom_site_fract_z
Cs1 Cs 0.2500 0.2500 0.2500
Rb1 Rb 0.0000 0.0000 0.0000
Hg1 Hg 0.0000 0.0000 0.5000
```


# 9
Below is a crystal of Lu2Fe2Si2C relaxed with PBEsol, with properties calculated at the meta-GGA SCAN level.

Output
D(E_F)	5.8	states/eV/cell
E_form (uncorrected)	-0.669	eV/atom
density	8.86	g cm⁻³

The structure in CIF format:
```
data_Lu2Fe2Si2C
_symmetry_space_group_name_H-M 'C 1 2/m 1'
_symmetry_Int_Tables_number 12
_cell_length_a 10.2880
_cell_length_b 3.8301
_cell_length_c 6.5084
_cell_angle_alpha 90.00
_cell_angle_beta 129.24
_cell_angle_gamma 90.00
loop_
_symmetry_equiv_pos_as_xyz
'x,y,z'
'-x,-y,-z'
'-x,y,-z'
'x,-y,z'
'x+1/2,y+1/2,z'
'-x+1/2,-y+1/2,-z'
'-x+1/2,y+1/2,-z'
'x+1/2,-y+1/2,z'
loop_
_atom_site_label
_atom_site_type_symbol
_atom_site_fract_x
_atom_site_fract_y
_atom_site_fract_z
Lu1 Lu 0.0590 0.0000 0.3269
Fe1 Fe 0.2034 0.5000 0.8076
Si1 Si 0.1572 0.5000 0.1071
C1 C 0.0000 0.5000 0.5000
```


# 10
Below is a crystal of MgAlCu2 relaxed with PBEsol, with properties calculated at the meta-GGA SCAN level.

Output
D(E_F)	2.3	states/eV/cell
density	5.26	g cm⁻³
final energy	-87.655	eV/cell

The structure in CIF format:
```
data_MgAlCu2
_symmetry_space_group_name_H-M 'A m m 2'
_symmetry_Int_Tables_number 38
_cell_length_a 4.1094
_cell_length_b 2.8142
_cell_length_c 9.7422
_cell_angle_alpha 90.00
_cell_angle_beta 90.00
_cell_angle_gamma 90.00
loop_
_symmetry_equiv_pos_as_xyz
'x,y,z'
'-x,-y,z'
'-x,y,z'
'x,-y,z'
'x,y+1/2,z+1/2'
'-x,-y+1/2,z+1/2'
'-x,y+1/2,z+1/2'
'x,-y+1/2,z+1/2'
loop_
_atom_site_label
_atom_site_type_symbol
_atom_site_fract_x
_atom_site_fract_y
_atom_site_fract_z
Mg1 Mg 0.0000 0.0000 0.0000
Al1 Al 0.5000 0.0000 0.3201
Cu1 Cu 0.0000 0.0000 0.7357
Cu2 Cu 0.5000 0.0000 0.5948
```


# 11
Below is a crystal of CrCuMo2 relaxed with PBEsol, with properties calculated at the meta-GGA SCAN level.

Output
D(E_F)	3.5	states/eV/cell
relative energy among the computed polymorphs	0.0000	eV per atom
density	9.49	g cm⁻³

The structure in CIF format:
```
data_CrCuMo2
_symmetry_space_group_name_H-M 'P 4 m m'
_symmetry_Int_Tables_number 99
_cell_length_a 3.1224
_cell_length_b 3.1224
_cell_length_c 5.5190
_cell_angle_alpha 90.00
_cell_angle_beta 90.00
_cell_angle_gamma 90.00
loop_
_symmetry_equiv_pos_as_xyz
'x,y,z'
'-y,x,z'
'-x,-y,z'
'y,-x,z'
'-x,y,z'
'y,x,z'
'x,-y,z'
'-y,-x,z'
loop_
_atom_site_label
_atom_site_type_symbol
_atom_site_fract_x
_atom_site_fract_y
_atom_site_fract_z
Cr1 Cr 0.0000 0.0000 0.0000
Cu1 Cu 0.5000 0.5000 0.2315
Mo1 Mo 0.0000 0.0000 0.4827
Mo2 Mo 0.5000 0.5000 0.7520
```


# 12
Below is a crystal of ScBe2Au relaxed with PBEsol, with properties calculated at the meta-GGA SCAN level.

Output
D(E_F)	2.3	states/eV/cell
relative energy among the computed polymorphs	0.3073	eV per atom
density	7.64	g cm⁻³

The structure in CIF format:
```
data_ScBe2Au
_symmetry_space_group_name_H-M 'P m m m'
_symmetry_Int_Tables_number 47
_cell_length_a 3.7740
_cell_length_b 3.7796
_cell_length_c 3.9615
_cell_angle_alpha 90.00
_cell_angle_beta 90.00
_cell_angle_gamma 90.00
loop_
_symmetry_equiv_pos_as_xyz
'x,y,z'
'-x,-y,-z'
'-x,-y,z'
'x,y,-z'
'x,-y,-z'
'-x,y,z'
'-x,y,-z'
'x,-y,z'
loop_
_atom_site_label
_atom_site_type_symbol
_atom_site_fract_x
_atom_site_fract_y
_atom_site_fract_z
Sc1 Sc 0.0000 0.0000 0.0000
Be1 Be 0.0000 0.5000 0.5000
Be2 Be 0.5000 0.5000 0.0000
Au1 Au 0.5000 0.0000 0.5000
```


# 13
Below is a crystal of MgAuCl2 relaxed with PBEsol, with properties calculated at the meta-GGA SCAN level.

Output
D(E_F)	0.3	states/eV/cell
E_form (uncorrected)	-0.825	eV/atom
relative energy among the computed polymorphs	0.0000	eV per atom
density	5.57	g cm⁻³

The structure in CIF format:
```
data_MgAuCl2
_symmetry_space_group_name_H-M 'P 4/m m m'
_symmetry_Int_Tables_number 123
_symmetry_space_group_name_Hall '-P 4 2'
_cell_length_a 3.0411
_cell_length_b 3.0411
_cell_length_c 9.4264
_cell_angle_alpha 90.00
_cell_angle_beta 90.00
_cell_angle_gamma 90.00
loop_
_atom_site_label
_atom_site_type_symbol
_atom_site_fract_x
_atom_site_fract_y
_atom_site_fract_z
Mg1 Mg 0.0000 0.0000 0.0000
Au1 Au 0.0000 0.0000 0.5000
Cl1 Cl 0.5000 0.5000 0.1595
```


# 14
Below is a crystal of Mn3TlRh relaxed with PBEsol, with properties calculated at the meta-GGA SCAN level.

Output
D(E_F)	2.6	states/eV/cell
density	6.88	g cm⁻³
final energy	-154.763	eV/cell

The structure in CIF format:
```
data_Mn3TlRh
_symmetry_space_group_name_H-M 'P m -3 m'
_symmetry_Int_Tables_number 221
_symmetry_space_group_name_Hall '-P 4 2 3'
_cell_length_a 4.8487
_cell_length_b 4.8487
_cell_length_c 4.8487
_cell_angle_alpha 90.00
_cell_angle_beta 90.00
_cell_angle_gamma 90.00
loop_
_atom_site_label
_atom_site_type_symbol
_atom_site_fract_x
_atom_site_fract_y
_atom_site_fract_z
Mn1 Mn 0.0000 0.0000 0.5000
Tl1 Tl 0.0000 0.0000 0.0000
Rh1 Rh 0.5000 0.5000 0.5000
```


# 15
Below is a crystal of CdRu2Br relaxed with PBEsol, with properties calculated at the meta-GGA SCAN level.

Output
D(E_F)	14.8	states/eV/cell
E_form (uncorrected)	1.114	eV/atom
relative energy among the computed polymorphs	0.4195	eV per atom
density	10.34	g cm⁻³

The structure in CIF format:
```
data_CdRu2Br
_symmetry_space_group_name_H-M 'F m -3 m'
_symmetry_Int_Tables_number 225
_symmetry_space_group_name_Hall '-F 4 2 3'
_cell_length_a 6.3270
_cell_length_b 6.3270
_cell_length_c 6.3270
_cell_angle_alpha 90.00
_cell_angle_beta 90.00
_cell_angle_gamma 90.00
loop_
_atom_site_label
_atom_site_type_symbol
_atom_site_fract_x
_atom_site_fract_y
_atom_site_fract_z
Cd1 Cd 0.0000 0.0000 0.0000
Ru1 Ru 0.2500 0.2500 0.2500
Br1 Br 0.0000 0.0000 0.5000
```


# 16
Below is a crystal of Zn2CuPt relaxed with PBEsol, with properties calculated at the meta-GGA SCAN level.

Output
D(E_F)	3.7	states/eV/cell
density	11.98	g cm⁻³
final energy	-339.926	eV/cell

The structure in CIF format:
```
data_Zn2CuPt
_symmetry_space_group_name_H-M 'R -3 m'
_symmetry_Int_Tables_number 166
_symmetry_space_group_name_Hall '-R 3 2"'
_cell_length_a 2.7481
_cell_length_b 2.7481
_cell_length_c 24.7665
_cell_angle_alpha 90.00
_cell_angle_beta 90.00
_cell_angle_gamma 120.00
loop_
_atom_site_label
_atom_site_type_symbol
_atom_site_fract_x
_atom_site_fract_y
_atom_site_fract_z
Zn1 Zn 0.0000 0.0000 0.2470
Cu1 Cu 0.0000 0.0000 0.5000
Pt1 Pt 0.0000 0.0000 0.0000
```


# 17
Below is a crystal of MgCdC3 relaxed with PBEsol, with properties calculated at the meta-GGA SCAN level.

Output
D(E_F)	2.7	states/eV/cell
density	3.75	g cm⁻³
final energy	-50.531	eV/cell

The structure in CIF format:
```
data_MgCdC3
_symmetry_space_group_name_H-M 'P m -3 m'
_symmetry_Int_Tables_number 221
_symmetry_space_group_name_Hall '-P 4 2 3'
_cell_length_a 4.2464
_cell_length_b 4.2464
_cell_length_c 4.2464
_cell_angle_alpha 90.00
_cell_angle_beta 90.00
_cell_angle_gamma 90.00
loop_
_atom_site_label
_atom_site_type_symbol
_atom_site_fract_x
_atom_site_fract_y
_atom_site_fract_z
Mg1 Mg 0.0000 0.0000 0.0000
Cd1 Cd 0.5000 0.5000 0.5000
C1 C 0.0000 0.5000 0.5000
```


# 18
Below is a crystal of Ta10Si2MoSe8 relaxed with PBEsol, with properties calculated at the meta-GGA SCAN level.

Output
D(E_F)	10.4	states/eV/cell
E_form (uncorrected)	-0.683	eV/atom
density	11.02	g cm⁻³

The structure in CIF format:
```
data_Ta10Si2MoSe8
_symmetry_space_group_name_H-M 'P n n m'
_symmetry_Int_Tables_number 58
_cell_length_a 11.8104
_cell_length_b 19.1923
_cell_length_c 3.4474
_cell_angle_alpha 90.00
_cell_angle_beta 90.00
_cell_angle_gamma 90.00
loop_
_symmetry_equiv_pos_as_xyz
'x,y,z'
'-x,-y,-z'
'-x,-y,z'
'x,y,-z'
'x+1/2,-y+1/2,-z+1/2'
'-x+1/2,y+1/2,z+1/2'
'-x+1/2,y+1/2,-z+1/2'
'x+1/2,-y+1/2,z+1/2'
loop_
_atom_site_label
_atom_site_type_symbol
_atom_site_fract_x
_atom_site_fract_y
_atom_site_fract_z
Ta1 Ta 0.0500 0.2425 0.0000
Ta2 Ta 0.0640 0.1129 0.5000
Ta3 Ta 0.1611 0.7852 0.5000
Ta4 Ta 0.1766 0.9532 0.5000
Ta5 Ta 0.1788 0.3554 0.5000
Si1 Si 0.0919 0.8712 0.0000
Mo1 Mo 0.0000 0.0000 0.0000
Se1 Se 0.0399 0.6711 0.5000
Se2 Se 0.1096 0.4476 0.0000
Se3 Se 0.2106 0.0565 0.0000
Se4 Se 0.2169 0.2116 0.5000
```


# 19
Below is a crystal of AlRe2Hg relaxed with PBEsol, with properties calculated at the meta-GGA SCAN level.

Output
D(E_F)	2.3	states/eV/cell
relative energy among the computed polymorphs	0.0855	eV per atom
density	15.43	g cm⁻³

The structure in CIF format:
```
data_AlRe2Hg
_symmetry_space_group_name_H-M 'P 1 2/m 1'
_symmetry_Int_Tables_number 10
_cell_length_a 2.8170
_cell_length_b 4.6172
_cell_length_c 4.9680
_cell_angle_alpha 90.00
_cell_angle_beta 92.54
_cell_angle_gamma 90.00
loop_
_symmetry_equiv_pos_as_xyz
'x,y,z'
'-x,-y,-z'
'-x,y,-z'
'x,-y,z'
loop_
_atom_site_label
_atom_site_type_symbol
_atom_site_fract_x
_atom_site_fract_y
_atom_site_fract_z
Al1 Al 0.0000 0.0000 0.0000
Re1 Re 0.3024 0.5000 0.7747
Hg1 Hg 0.5000 0.0000 0.5000
```


# 20
Below is a crystal of KBa relaxed with PBEsol, with properties calculated at the meta-GGA SCAN level.

Output
D(E_F)	5.9	states/eV/cell
density	2.07	g cm⁻³
final energy	-94.271	eV/cell

The structure in CIF format:
```
data_KBa
_symmetry_space_group_name_H-M 'P 63/m m c'
_symmetry_Int_Tables_number 194
_symmetry_space_group_name_Hall '-P 6c 2c'
_cell_length_a 6.6860
_cell_length_b 6.6860
_cell_length_c 7.3066
_cell_angle_alpha 90.00
_cell_angle_beta 90.00
_cell_angle_gamma 120.00
loop_
_atom_site_label
_atom_site_type_symbol
_atom_site_fract_x
_atom_site_fract_y
_atom_site_fract_z
K1 K 0.0000 0.0000 0.0000
Ba1 Ba 0.3333 0.6667 0.2500
```